Computed, not measured: NbReTcMo after structural relaxation at the PBE level of DFT.

Lattice parameters (Å, degrees): 6.336 6.336 6.336 90.00 90.00 90.00
Space group F-43m (No. 216)
Unique sites:
Nb  0.000  0.000  0.000 (multiplicity 4)
Re  0.250  0.250  0.750 (multiplicity 4)
Tc  0.250  0.250  0.250 (multiplicity 4)
Mo  0.000  0.000  0.500 (multiplicity 4)

**Theoretical density**: 12.353 Mg/m³
**Total magnetic moment**: 0.00 μB/f.u.
**Electronic total energy**: -11.017 eV/atom
**Volume**: 15.9 Å³ per atom